# 1
{
  "formula": "CaBe",
  "functional": "GGA-PBE",
  "state": "relaxed",
  "cell": [[3.672, 0.000, 0.000], [0.000, 4.036, 0.000], [0.000, 0.000, 6.893]],
  "species": ["Be", "Be", "Ca", "Ca"],
  "frac_coords": [[0.000, 0.000, 0.109], [0.000, 0.500, 0.224], [0.500, 0.000, 0.426], [0.500, 0.500, 0.908]],
  "ef_ev_per_fu": 0.7,
  "dft_energy_ev_per_cell": -10.09,
  "spacegroup": "Pmma, No. 51",
  "relative_energy_mev_per_atom": 132,
  "vol_a3_per_atom": 25.538
}


# 2
{
  "formula": "CaBe",
  "functional": "GGA-PBE",
  "state": "relaxed",
  "cell": [[5.011, 0.000, 0.000], [-2.506, 4.340, 0.000], [0.000, 0.000, 4.156]],
  "species": ["Be", "Be", "Ca", "Ca"],
  "frac_coords": [[0.000, 0.000, 0.000], [0.000, 0.000, 0.500], [0.333, 0.667, 0.250], [0.667, 0.333, 0.750]],
  "ef_ev_per_fu": 0.4,
  "dft_energy_ev_per_cell": -10.62,
  "spacegroup": "P6_3/mmc, No. 194",
  "relative_energy_mev_per_atom": 0,
  "vol_a3_per_atom": 22.600
}


Question: What is the formula in the second record?
Answer: CaBe